## a
# MnRh3F | Alexandria via LeMat-Bulk | PBE with a Hubbard U | relaxed
data_MnRh3F
_chemical_formula_sum 'Mn1 Rh3 F1'
_cell_length_a 4.452
_cell_length_b 4.452
_cell_length_c 4.452
_cell_angle_alpha 90.00
_cell_angle_beta 90.00
_cell_angle_gamma 90.00
_symmetry_space_group_name_H-M 'P m -3 m'
_symmetry_Int_Tables_number 221
_symmetry_space_group_name_Hall '-P 4 2 3'
loop_
_atom_site_label
_atom_site_type_symbol
_atom_site_fract_x
_atom_site_fract_y
_atom_site_fract_z
Mn1 Mn 0.000 0.000 0.000
Rh1 Rh 0.000 0.000 0.500
F1 F 0.500 0.500 0.500
# - Fermi-level density of states (states/eV/cell) = 9.8
# - volume (Å³/cell) = 88.3
# - total moment (μB/f.u.) = 0.91

## b
# MnRh3F | Alexandria via LeMat-Bulk | PBE with a Hubbard U | relaxed
data_MnRh3F
_chemical_formula_sum 'Mn1 Rh3 F1'
_cell_length_a 4.252
_cell_length_b 4.252
_cell_length_c 4.252
_cell_angle_alpha 90.00
_cell_angle_beta 90.00
_cell_angle_gamma 90.00
_symmetry_space_group_name_H-M 'P m -3 m'
_symmetry_Int_Tables_number 221
_symmetry_space_group_name_Hall '-P 4 2 3'
loop_
_atom_site_label
_atom_site_type_symbol
_atom_site_fract_x
_atom_site_fract_y
_atom_site_fract_z
Mn1 Mn 0.000 0.000 0.000
Rh1 Rh 0.000 0.500 0.500
F1 F 0.500 0.500 0.500
# - Fermi-level density of states (states/eV/cell) = 5.3
# - volume (Å³/cell) = 76.9
# - total moment (μB/f.u.) = 3.58

It is a that is the least stable of them.

## a
# Mn3RhF | Alexandria via LeMat-Bulk | PBE with a Hubbard U | relaxed
data_Mn3RhF
_chemical_formula_sum 'Mn3 Rh1 F1'
_cell_length_a 4.974
_cell_length_b 4.974
_cell_length_c 4.974
_cell_angle_alpha 90.00
_cell_angle_beta 90.00
_cell_angle_gamma 90.00
_symmetry_space_group_name_H-M 'P m -3 m'
_symmetry_Int_Tables_number 221
_symmetry_space_group_name_Hall '-P 4 2 3'
loop_
_atom_site_label
_atom_site_type_symbol
_atom_site_fract_x
_atom_site_fract_y
_atom_site_fract_z
Mn1 Mn 0.000 0.000 0.500
Rh1 Rh 0.000 0.000 0.000
F1 F 0.500 0.500 0.500
# - Fermi-level density of states (states/eV/cell) = 2.6
# - volume (Å³/cell) = 123.1
# - total moment (μB/f.u.) = 15.13

## b
# Mn3RhF | Alexandria via LeMat-Bulk | PBE with a Hubbard U | relaxed
data_Mn3RhF
_chemical_formula_sum 'Mn3 Rh1 F1'
_cell_length_a 4.342
_cell_length_b 4.342
_cell_length_c 4.342
_cell_angle_alpha 90.00
_cell_angle_beta 90.00
_cell_angle_gamma 90.00
_symmetry_space_group_name_H-M 'P m -3 m'
_symmetry_Int_Tables_number 221
_symmetry_space_group_name_Hall '-P 4 2 3'
loop_
_atom_site_label
_atom_site_type_symbol
_atom_site_fract_x
_atom_site_fract_y
_atom_site_fract_z
Mn1 Mn 0.000 0.000 0.500
Rh1 Rh 0.500 0.500 0.500
F1 F 0.000 0.000 0.000
# - Fermi-level density of states (states/eV/cell) = 1.7
# - volume (Å³/cell) = 81.8
# - total moment (μB/f.u.) = 14.52

It is a that is the least stable of them.